Model one:
LaHo5Tm | PBE | relaxed

extended XYZ file:
```
14
Lattice="-3.337 -1.576 -5.384 -3.780 -3.415 4.082 -2.336 11.329 2.091" Properties=species:S:1:pos:R:3 pbc="T T T"
Ho -5.055 8.747 2.903
Ho -4.289 -0.270 2.994
Ho -5.696 2.717 1.702
Ho -6.099 -2.367 0.985
Ho -3.355 8.705 -0.197
Ho -2.342 2.395 2.085
Ho -4.398 -2.409 -2.115
Ho -3.757 3.621 -0.914
Ho -7.111 3.943 -1.297
Ho -5.165 6.607 -2.206
La 0.000 0.000 0.000
La -1.168 5.664 1.045
Tm -5.316 5.978 1.035
Tm -4.137 0.360 -0.247
```

Computed properties:
- symmetry = C2/c (15)

---

Model two:
LaHo5Tm | PBE | relaxed

extended XYZ file:
```
7
Lattice="-4.955 2.827 0.952 -5.664 -2.348 -4.939 -5.390 -4.659 3.350" Properties=species:S:1:pos:R:3 pbc="T T T"
Ho -5.527 -3.503 -0.795
Ho -7.917 -2.831 2.340
Ho -9.504 -4.508 -0.943
Ho -8.092 -1.349 -2.977
Ho -6.505 0.328 0.306
Tm -8.004 -2.090 -0.319
La 0.000 0.000 0.000
```

Computed properties:
- symmetry = Immm (71)

---

It is model one that is most stable; the runner-up trails by 1.024 eV/atom.

---

Model one:
LaHo4Tm6 | PBE | relaxed

extended XYZ file:
```
11
Lattice="7.738 0.000 0.000 0.000 7.738 0.000 -3.869 -3.869 6.341" Properties=species:S:1:pos:R:3 pbc="T T T"
Ho 1.274 1.274 0.936
Ho 2.595 -2.595 5.405
Ho 6.464 6.464 0.936
Ho -2.595 2.595 5.405
Tm 0.000 3.869 0.000
Tm 5.877 1.861 2.368
Tm 3.869 0.000 0.000
Tm -2.008 -2.008 3.973
Tm 2.008 2.008 3.973
Tm 1.861 5.877 2.368
La 3.869 3.869 0.000
```

Computed properties:
- symmetry = I-42m (121)

---

Model two:
LaHo4Tm6 | PBE | relaxed

extended XYZ file:
```
22
Lattice="-0.013 -1.515 5.405 4.836 0.672 -2.715 0.449 24.508 6.869" Properties=species:S:1:pos:R:3 pbc="T T T"
Tm 1.643 4.383 1.232
Tm 3.215 1.645 3.383
Tm 3.630 19.283 8.327
Tm 3.350 8.983 5.440
Tm 0.218 11.497 6.137
Tm 0.375 17.623 7.854
Tm 1.923 14.683 4.119
Tm -0.006 -0.757 2.703
Tm 2.057 22.021 6.176
Tm 4.897 6.043 1.705
Tm 3.567 15.850 7.365
Tm 1.706 7.816 2.194
Ho 0.443 20.766 8.735
Ho 3.472 12.449 6.412
Ho 1.613 0.982 0.279
Ho 3.660 22.684 9.280
Ho 1.800 11.216 3.147
Ho 4.945 9.187 2.586
Ho 4.830 2.899 0.824
Ho 0.328 14.479 6.973
La 3.285 5.314 4.412
La 1.988 18.352 5.147
```

Computed properties:
- symmetry = Cmcm (63)

---

It is model two that is most stable; the runner-up trails by 0.342 eV/atom.

---

Model one:
La8Ho3Tm2 | PBE | relaxed

extended XYZ file:
```
13
Lattice="-3.801 -0.429 4.400 3.625 -6.395 2.508 4.291 8.942 4.575" Properties=species:S:1:pos:R:3 pbc="T T T"
La 1.928 -3.470 5.189
La 2.187 5.588 6.292
La 3.633 3.037 7.293
La -2.210 1.067 5.915
La 6.325 1.051 5.567
La 0.160 3.297 8.177
La 3.955 -1.179 3.305
La 0.482 -0.919 4.189
Ho 2.595 -4.578 1.795
Ho -1.900 -0.215 2.200
Ho 1.030 -1.818 0.713
Tm 3.095 -0.414 6.499
Tm 1.020 2.532 4.982
```

Computed properties:
- symmetry = C2/m (12)

---

Model two:
La8Ho3Tm2 | PBE | relaxed

extended XYZ file:
```
13
Lattice="-1.119 -3.662 -4.795 11.554 -2.003 -1.166 -6.718 -5.493 2.413" Properties=species:S:1:pos:R:3 pbc="T T T"
Tm 4.663 -5.914 -3.180
Tm -0.947 -5.244 -0.369
La 8.109 -4.909 -1.987
La -4.393 -6.249 -1.562
La 4.969 -6.109 0.190
La -1.253 -5.050 -3.739
La -1.601 -8.068 -2.007
La 1.666 -7.300 -2.174
La 2.050 -3.859 -1.375
La 5.318 -3.090 -1.542
Ho 8.382 -1.453 -0.846
Ho 3.171 -0.550 -0.320
Ho -0.560 -1.831 -2.398
```

Computed properties:
- symmetry = C2/m (12)

---

It is model two that is most stable; the runner-up trails by 0.038 eV/atom.

---

Model one:
La2Ho3Tm4 | PBE | relaxed

extended XYZ file:
```
9
Lattice="5.043 0.000 0.000 0.000 7.930 0.647 -2.522 -2.958 6.954" Properties=species:S:1:pos:R:3 pbc="T T T"
Tm 0.000 1.375 3.311
Tm 0.000 2.612 6.589
Tm 2.522 2.361 1.011
Tm 2.522 3.597 4.290
Ho 0.000 4.605 1.953
Ho 0.000 0.000 0.000
Ho 2.522 0.367 5.648
La 2.522 -0.974 2.292
La 0.000 5.946 5.309
```

Computed properties:
- symmetry = C2/m (12)

---

Model two:
La2Ho3Tm4 | PBE | relaxed

extended XYZ file:
```
9
Lattice="-5.768 -0.635 3.712 0.869 -1.377 -6.694 4.423 -6.452 3.282" Properties=species:S:1:pos:R:3 pbc="T T T"
Tm -2.171 -5.555 1.120
Tm -0.265 -5.768 -1.867
Tm 1.694 -2.910 -0.820
Tm -0.211 -2.697 2.166
Ho -2.884 -0.318 1.856
Ho 0.000 0.000 0.000
Ho 0.434 -0.689 -3.347
La 1.518 -5.735 1.377
La -1.994 -2.729 -1.077
```

Computed properties:
- symmetry = Fmmm (69)

---

It is model one that is most stable; the runner-up trails by 0.150 eV/atom.

---

Model one:
La2Ho2Tm3 | PBE | relaxed

extended XYZ file:
```
14
Lattice="7.955 0.000 -2.813 -3.978 6.890 -2.813 0.000 0.000 8.438" Properties=species:S:1:pos:R:3 pbc="T T T"
Tm 3.783 3.782 -1.131
Tm 2.594 5.167 3.944
Tm 5.361 1.722 1.681
Tm -1.794 6.553 -1.681
Tm -0.800 2.059 1.131
Tm 2.789 1.386 4.494
La 0.535 3.445 -2.299
La -1.262 4.704 3.327
La 0.727 5.630 0.514
La 0.000 0.000 6.896
Ho 5.329 3.445 -3.994
Ho 0.000 0.000 3.543
Ho 4.296 0.552 -1.181
Ho 2.308 2.893 1.632
```

Computed properties:
- symmetry = I2_13 (199)

---

Model two:
La2Ho2Tm3 | PBE | relaxed

extended XYZ file:
```
7
Lattice="5.960 0.000 2.193 0.000 3.554 0.000 2.270 0.000 12.114" Properties=species:S:1:pos:R:3 pbc="T T T"
Ho 2.306 0.000 2.892
Ho 5.924 0.000 11.415
La 4.963 1.777 4.861
La 3.267 1.777 9.446
Tm 0.000 0.000 0.000
Tm 5.643 0.000 7.720
Tm 2.587 0.000 6.587
```

Computed properties:
- symmetry = P2/m (10)

---

It is model one that is most stable; the runner-up trails by 0.087 eV/atom.

---

Model one:
La4Ho4Tm | PBE | relaxed

extended XYZ file:
```
9
Lattice="-0.971 -0.986 -5.972 -5.521 -2.335 1.283 -0.692 10.521 1.522" Properties=species:S:1:pos:R:3 pbc="T T T"
La -2.761 -1.167 0.642
La -0.486 -0.493 -2.986
La -6.042 4.629 -2.928
La -1.143 2.571 -0.239
Tm 0.000 0.000 0.000
Ho -4.026 2.184 -3.987
Ho -1.167 5.859 0.358
Ho -3.509 4.661 -1.334
Ho -5.667 1.697 -1.369
```

Computed properties:
- symmetry = I-42m (121)

---

Model two:
La4Ho4Tm | PBE | relaxed

extended XYZ file:
```
9
Lattice="-4.996 0.852 -0.783 -1.482 -0.542 -7.926 -3.898 -7.068 0.382" Properties=species:S:1:pos:R:3 pbc="T T T"
La -2.965 -2.075 -0.134
La -4.319 0.207 -5.802
La -7.411 -4.682 -8.192
La -6.057 -6.964 -2.524
Ho -5.251 -4.767 -5.272
Ho -7.290 -1.882 -5.918
Ho -3.086 -4.876 -2.409
Ho -5.125 -1.991 -3.055
Tm 0.000 0.000 0.000
```

Computed properties:
- symmetry = I4/mmm (139)

---

It is model two that is most stable; the runner-up trails by 0.687 eV/atom.